A relaxed ZrWC crystal. Source: Alexandria, functional PBE-GGA.

a b c (Å): 5.5080 4.9680 6.3600
angles (deg): 90.00 90.12 90.00
With the nearest neighbours (Å) after each atom.
Sites, in units of the cell vectors:
Zr 0.0841 0.2444 0.1307  3 C 2.29-2.32
Zr 0.0841 0.2556 0.6307  3 C 2.29-2.32
Zr 0.9159 0.7444 0.3693  3 C 2.29-2.32
Zr 0.9159 0.7556 0.8693  3 C 2.29-2.32
W 0.4261 0.7354 0.1069  3 C 2.12-2.20
W 0.4261 0.7646 0.6069  3 C 2.12-2.20
W 0.5739 0.2354 0.3931  3 C 2.12-2.20
W 0.5739 0.2646 0.8931  3 C 2.12-2.20
C 0.2757 0.5101 0.3739  3 W 2.12-2.20, 3 Zr 2.29-2.32
C 0.2757 0.9899 0.8739  3 W 2.12-2.20, 3 Zr 2.29-2.32
C 0.7243 0.0101 0.1261  3 W 2.12-2.20, 3 Zr 2.29-2.32
C 0.7243 0.4899 0.6261  3 W 2.12-2.20, 3 Zr 2.29-2.32

Its space group is P2_1/c, No. 14. The value obtained for the density of states at the Fermi level is 0.412 states/eV per atom. The calculation puts the excess energy over the best structure of this formula in the dataset at 0.0 meV/atom.

***

A relaxed ZrW2C crystal. Source: Alexandria, functional PBE-GGA.

a b c (Å): 3.0260 3.0260 6.6879
angles (deg): 90.00 90.00 90.00
With the nearest neighbours (Å) after each atom.
Sites, in units of the cell vectors:
Zr 0.0000 0.0000 0.0000  5 W 2.90-2.92, 4 Zr 3.03, 4 C 3.17
W 0.0000 0.0000 0.4334  4 C 2.21
W 0.5000 0.5000 0.7033  1 C 2.36
C 0.5000 0.5000 0.3499  5 W 2.21-2.36

Its space group is P4mm, No. 99. For the calculated total energy, the calculation gives -10.525 eV per atom. The value obtained for the density of states at the Fermi level is 0.347 states/eV per atom.

***

Q: Number 2 is which compound?
A: ZrW2C